# 1
# RbNb3Au PBE optimized geometry
# ρ: 6.7 g/cm3
# DOS at the Fermi energy: 0.823 states/eV/atom
# uncorrected energy: -25.773 eV for the cell shown
data_RbNb3Au
_chemical_formula_sum 'Rb1 Nb3 Au1'
_cell_length_a 5.191
_cell_length_b 5.191
_cell_length_c 5.191
_cell_angle_alpha 90.00
_cell_angle_beta 90.00
_cell_angle_gamma 90.00
_symmetry_space_group_name_H-M 'P m -3 m'
_symmetry_Int_Tables_number 221
_symmetry_space_group_name_Hall '-P 4 2 3'
loop_
_atom_site_label
_atom_site_type_symbol
_atom_site_fract_x
_atom_site_fract_y
_atom_site_fract_z
Rb1 Rb 0.000 0.000 0.000
Nb1 Nb 0.000 0.500 0.500
Au1 Au 0.500 0.500 0.500


# 2
# Rb2NbAu PBE optimized geometry
# ρ: 5.0 g/cm3
# DOS at the Fermi energy: 1.386 states/eV/atom
# uncorrected energy: -42.856 eV for the cell shown
data_Rb2NbAu
_chemical_formula_sum 'Rb8 Nb4 Au4'
_cell_length_a 8.480
_cell_length_b 8.480
_cell_length_c 8.480
_cell_angle_alpha 90.00
_cell_angle_beta 90.00
_cell_angle_gamma 90.00
_symmetry_space_group_name_H-M 'F m -3 m'
_symmetry_Int_Tables_number 225
_symmetry_space_group_name_Hall '-F 4 2 3'
loop_
_atom_site_label
_atom_site_type_symbol
_atom_site_fract_x
_atom_site_fract_y
_atom_site_fract_z
Rb1 Rb 0.250 0.250 0.250
Nb1 Nb 0.000 0.000 0.000
Au1 Au 0.000 0.000 0.500


# 3
# RbNb2Au PBE optimized geometry
# ρ: 7.2 g/cm3
# DOS at the Fermi energy: 1.032 states/eV/atom
# uncorrected energy: -80.021 eV for the cell shown
data_RbNb2Au
_chemical_formula_sum 'Rb4 Nb8 Au4'
_cell_length_a 4.460
_cell_length_b 4.460
_cell_length_c 21.677
_cell_angle_alpha 90.00
_cell_angle_beta 90.00
_cell_angle_gamma 90.00
_symmetry_space_group_name_H-M 'I -4 2 d'
_symmetry_Int_Tables_number 122
_symmetry_space_group_name_Hall 'I -4 2bw'
loop_
_atom_site_label
_atom_site_type_symbol
_atom_site_fract_x
_atom_site_fract_y
_atom_site_fract_z
Rb1 Rb 0.000 0.000 0.000
Nb1 Nb 0.115 0.250 0.625
Au1 Au 0.000 0.000 0.500


# 4
# Rb2NbAuS4 PBE optimized geometry
# ρ: 4.0 g/cm3
# formation energy from raw total energies: -0.97 eV/atom
# DOS at the Fermi energy: 0.000 states/eV/atom
# uncorrected energy: -316.609 eV for the cell shown
data_Rb2NbAuS4
_chemical_formula_sum 'Rb16 Nb8 Au8 S32'
_cell_length_a 5.844
_cell_length_b 13.950
_cell_length_c 24.142
_cell_angle_alpha 90.00
_cell_angle_beta 90.00
_cell_angle_gamma 90.00
_symmetry_space_group_name_H-M 'F d d d'
_symmetry_Int_Tables_number 70
loop_
_symmetry_equiv_pos_as_xyz
'x,y,z'
'-x,-y,-z'
'-x+1/4,-y+1/4,z'
'x+1/4,y+1/4,-z'
'x,-y+1/4,-z+1/4'
'-x,y+1/4,z+1/4'
'-x+1/4,y,-z+1/4'
'x+1/4,-y,z+1/4'
'x,y+1/2,z+1/2'
'-x,-y+1/2,-z+1/2'
'-x+1/4,-y+3/4,z+1/2'
'x+1/4,y+3/4,-z+1/2'
'x,-y+3/4,-z+3/4'
'-x,y+3/4,z+3/4'
'-x+1/4,y+1/2,-z+3/4'
'x+1/4,-y+1/2,z+3/4'
'x+1/2,y,z+1/2'
'-x+1/2,-y,-z+1/2'
'-x+3/4,-y+1/4,z+1/2'
'x+3/4,y+1/4,-z+1/2'
'x+1/2,-y+1/4,-z+3/4'
'-x+1/2,y+1/4,z+3/4'
'-x+3/4,y,-z+3/4'
'x+3/4,-y,z+3/4'
'x+1/2,y+1/2,z'
'-x+1/2,-y+1/2,-z'
'-x+3/4,-y+3/4,z'
'x+3/4,y+3/4,-z'
'x+1/2,-y+3/4,-z+1/4'
'-x+1/2,y+3/4,z+1/4'
'-x+3/4,y+1/2,-z+1/4'
'x+3/4,-y+1/2,z+1/4'
loop_
_atom_site_label
_atom_site_type_symbol
_atom_site_fract_x
_atom_site_fract_y
_atom_site_fract_z
Rb1 Rb 0.125 0.125 0.302
Nb1 Nb 0.125 0.125 0.625
Au1 Au 0.125 0.125 0.125
S1 S 0.096 0.276 0.819


> Look up the DOS at the Fermi energy of the second one.

1.386 states/eV/atom